Cs2PH4Se3O2 at its PBEsol-relaxed geometry, computed with meta-GGA SCAN.

E   -739.47 eV per cell

The structure in CIF format:
```
data_Cs2PH4Se3O2
_cell_length_a 9.994
_cell_length_b 12.498
_cell_length_c 7.738
_cell_angle_alpha 90.00
_cell_angle_beta 90.00
_cell_angle_gamma 90.00
_symmetry_space_group_name_H-M 'P n n m'
_symmetry_Int_Tables_number 58
loop_
_symmetry_equiv_pos_as_xyz
'x,y,z'
'-x,-y,-z'
'-x,-y,z'
'x,y,-z'
'x+1/2,-y+1/2,-z+1/2'
'-x+1/2,y+1/2,z+1/2'
'-x+1/2,y+1/2,-z+1/2'
'x+1/2,-y+1/2,z+1/2'
loop_
_atom_site_label
_atom_site_fract_x
_atom_site_fract_y
_atom_site_fract_z
Cs1 0.000 0.000 0.000
Cs2 0.000 0.000 0.500
Cs3 0.115 0.327 0.000
P1 0.113 0.492 0.500
H1 0.087 0.750 0.298
H2 0.175 0.823 0.180
Se1 0.146 0.318 0.500
Se2 0.185 0.570 0.265
O1 0.092 0.824 0.253
```

---

Na2TcNiSe at its PBEsol-relaxed geometry, computed with meta-GGA SCAN.

Energy relative to the elements, uncorrected   1.059 eV/atom

The structure in CIF format:
```
data_Na2TcNiSe
_cell_length_a 5.535
_cell_length_b 5.535
_cell_length_c 4.297
_cell_angle_alpha 90.00
_cell_angle_beta 90.00
_cell_angle_gamma 90.00
_symmetry_space_group_name_H-M 'P 4/m m m'
_symmetry_Int_Tables_number 123
_symmetry_space_group_name_Hall '-P 4 2'
loop_
_atom_site_label
_atom_site_fract_x
_atom_site_fract_y
_atom_site_fract_z
Na1 0.000 0.500 0.000
Tc1 0.000 0.000 0.000
Ni1 0.000 0.000 0.500
Se1 0.500 0.500 0.500
```

---

LaRu2Pt at its PBEsol-relaxed geometry, computed with meta-GGA SCAN.

ΔE_f   0.210 eV/atom

The structure in CIF format:
```
data_LaRu2Pt
_cell_length_a 6.499
_cell_length_b 6.499
_cell_length_c 6.499
_cell_angle_alpha 90.00
_cell_angle_beta 90.00
_cell_angle_gamma 90.00
_symmetry_space_group_name_H-M 'F m -3 m'
_symmetry_Int_Tables_number 225
_symmetry_space_group_name_Hall '-F 4 2 3'
loop_
_atom_site_label
_atom_site_fract_x
_atom_site_fract_y
_atom_site_fract_z
La1 0.000 0.000 0.000
Ru1 0.250 0.250 0.250
Pt1 0.000 0.000 0.500
```

---

SrSi2Ag at its PBEsol-relaxed geometry, computed with meta-GGA SCAN.

Energy relative to the elements, uncorrected   -0.008 eV/atom

The structure in CIF format:
```
data_SrSi2Ag
_cell_length_a 4.3540
_cell_length_b 4.3540
_cell_length_c 16.1402
_cell_angle_alpha 90.00
_cell_angle_beta 90.00
_cell_angle_gamma 120.00
_symmetry_space_group_name_H-M 'R 3 m'
_symmetry_Int_Tables_number 160
_symmetry_space_group_name_Hall 'R 3 -2"'
loop_
_atom_site_label
_atom_site_fract_x
_atom_site_fract_y
_atom_site_fract_z
Sr1 0.0000 0.0000 0.0000
Si1 0.0000 0.0000 0.2069
Si2 0.0000 0.0000 0.4904
Ag1 0.0000 0.0000 0.7989
```

---

Sr3OsC at its PBEsol-relaxed geometry, computed with meta-GGA SCAN.

ΔE_f   1.462 eV/atom

The structure in CIF format:
```
data_Sr3OsC
_cell_length_a 5.574
_cell_length_b 5.574
_cell_length_c 5.574
_cell_angle_alpha 90.00
_cell_angle_beta 90.00
_cell_angle_gamma 90.00
_symmetry_space_group_name_H-M 'P m -3 m'
_symmetry_Int_Tables_number 221
_symmetry_space_group_name_Hall '-P 4 2 3'
loop_
_atom_site_label
_atom_site_fract_x
_atom_site_fract_y
_atom_site_fract_z
Sr1 0.000 0.000 0.500
Os1 0.000 0.000 0.000
C1 0.500 0.500 0.500
```

---

GdErRu2 at its PBEsol-relaxed geometry, computed with meta-GGA SCAN.

ΔE_f   -0.374 eV/atom

The structure in CIF format:
```
data_GdErRu2
_cell_length_a 6.675
_cell_length_b 6.675
_cell_length_c 6.675
_cell_angle_alpha 90.00
_cell_angle_beta 90.00
_cell_angle_gamma 90.00
_symmetry_space_group_name_H-M 'F m -3 m'
_symmetry_Int_Tables_number 225
_symmetry_space_group_name_Hall '-F 4 2 3'
loop_
_atom_site_label
_atom_site_fract_x
_atom_site_fract_y
_atom_site_fract_z
Gd1 0.000 0.000 0.000
Er1 0.000 0.000 0.500
Ru1 0.250 0.250 0.250
```

---

no.,M_tot (μB/atom)
1,0.00
2,0.80
3,0.71
4,0.00
5,0.40
6,1.78